1.
Here is GePbSe2Br after structural relaxation from Alexandria. Energies are from PBE-GGA.

Unit cell a=5.5016 b=5.5016 c=5.5385 alpha=90.00 beta=90.00 gamma=90.00
With the nearest neighbours (Å) after each atom.
Sites, in units of the cell vectors:
Pb 0.0000 0.0000 0.0000  4 Se 2.75, 2 Br 2.77
Br 0.0000 0.0000 0.5000  2 Pb 2.77
Se 0.5000 0.0000 0.0000  2 Pb 2.75
Ge 0.5000 0.5000 0.5000  4 Br 3.89, 8 Se 3.90
Se 0.0000 0.5000 0.0000  2 Pb 2.75

Summary:
- M_tot: 0.00 μB per cell
- Calculated volume: 33.5 A^3/atom
- Space-group type: No. 123
- Total energy: -0.1100 Ha/atom
- Relative energy among the computed polymorphs: 2.68 eV/f.u.

=====

2.
Here is KCeSiN3 after structural relaxation from Alexandria. Energies are from PBE-GGA.

Unit cell a=3.4413 b=7.9265 c=8.3164 alpha=100.11 beta=90.00 gamma=90.00
With the nearest neighbours (Å) after each atom.
Sites, in units of the cell vectors:
Si 0.2500 0.0857 0.6018  2 N 1.67-1.78
Si 0.7500 0.9143 0.3982  2 N 1.67-1.78
Ce 0.7500 0.3686 0.8441  5 N 2.24-2.42
N 0.2500 0.8755 0.4837  3 Si 1.78-1.91
N 0.7500 0.8489 0.1955  1 Si 1.67
K 0.7500 0.8343 0.8202  5 N 2.91-3.10
K 0.2500 0.1657 0.1798  5 N 2.91-3.10
N 0.7500 0.4436 0.1170  3 Ce 2.24-2.26
N 0.2500 0.5564 0.8830  3 Ce 2.24-2.26
N 0.2500 0.1511 0.8045  1 Si 1.67
Ce 0.2500 0.6314 0.1559  5 N 2.24-2.42
N 0.7500 0.1245 0.5163  3 Si 1.78-1.91

Summary:
- M_tot: 0.00 μB per cell
- Calculated volume: 18.6 A^3/atom
- Space-group type: No. 11
- Total energy: -0.2601 Ha/atom

=====

3.
Here is Tb5Nd2Sm4 after structural relaxation from Alexandria. Energies are from PBE-GGA.

Unit cell a=6.9227 b=7.0046 c=9.4868 alpha=78.10 beta=68.60 gamma=60.39
With the nearest neighbours (Å) after each atom.
Sites, in units of the cell vectors:
Tb 0.0000 0.5000 0.5000  2 Sm 3.36
Sm 0.7177 0.7212 0.8433  5 Tb 3.31-3.53, 3 Nd 3.49-3.50
Nd 0.2608 0.6375 0.8408  4 Sm 3.30-3.50, 6 Tb 3.40-3.62
Sm 0.3135 0.8735 0.4995  1 Nd 3.30, 2 Tb 3.45
Tb 0.2329 0.1706 0.8278  1 Tb 3.21, 3 Sm 3.31-3.53, 2 Nd 3.40-3.57
Tb 0.7671 0.8294 0.1722  1 Tb 3.21, 3 Sm 3.31-3.53, 2 Nd 3.40-3.57
Tb 0.2313 0.8294 0.1722  1 Tb 3.21, 3 Sm 3.31-3.53, 2 Nd 3.40-3.57
Tb 0.7687 0.1706 0.8278  1 Tb 3.21, 3 Sm 3.31-3.53, 2 Nd 3.40-3.57
Nd 0.7392 0.3625 0.1592  4 Sm 3.30-3.50, 6 Tb 3.40-3.62
Sm 0.2823 0.2788 0.1567  5 Tb 3.31-3.53, 3 Nd 3.49-3.50
Sm 0.6865 0.1265 0.5005  1 Nd 3.30, 2 Tb 3.45

Summary:
- M_tot: 0.00 μB per cell
- Calculated volume: 33.8 A^3/atom
- Space-group type: No. 12
- Total energy: -0.1664 Ha/atom
- Relative energy among the computed polymorphs: 0.17 eV/f.u.

=====

4.
Here is CaEuErSc after structural relaxation from Alexandria. Energies are from PBE-GGA.

Unit cell a=5.7007 b=5.7007 c=5.7007 alpha=60.00 beta=60.00 gamma=60.00
With the nearest neighbours (Å) after each atom.
Sites, in units of the cell vectors:
Eu 0.5000 0.5000 0.5000  4 Er 3.49, 4 Ca 3.49
Ca 0.7500 0.7500 0.7500  4 Sc 3.49, 4 Eu 3.49
Er 0.2500 0.2500 0.2500  4 Sc 3.49, 4 Eu 3.49
Sc 0.0000 0.0000 0.0000  4 Ca 3.49, 4 Er 3.49

Summary:
- M_tot: 7.55 μB per cell
- Calculated volume: 32.8 A^3/atom
- Space-group type: No. 216
- Total energy: -0.2054 Ha/atom

=====

5.
Here is Ti6IrPt after structural relaxation from Alexandria. Energies are from PBE-GGA.

Unit cell a=7.1081 b=7.1048 c=5.0271 alpha=45.00 beta=44.98 gamma=59.88
With the nearest neighbours (Å) after each atom.
Sites, in units of the cell vectors:
Ti 0.5017 0.2494 0.2491  2 Ti 2.51-2.52, 1 Ir 2.80
Ti 0.0004 0.4992 0.7498  2 Ti 2.51-2.52, 1 Ir 2.80
Ti 0.7508 0.0006 0.7490  2 Ti 2.50-2.52
Ti 0.2492 0.9994 0.2510  2 Ti 2.50-2.52
Ti 0.9996 0.5008 0.2502  2 Ti 2.51-2.52, 1 Ir 2.80
Pt 0.5000 0.5000 0.5000  12 Ti 2.80-2.82
Ir 0.0000 0.0000 0.0000  12 Ti 2.80-2.82
Ti 0.4983 0.7506 0.7509  2 Ti 2.51-2.52, 1 Ir 2.80

Summary:
- M_tot: 0.00 μB per cell
- Calculated volume: 15.9 A^3/atom
- Space-group type: No. 10
- Total energy: -0.3085 Ha/atom

=====

6.
Here is MnAsP2Ir after structural relaxation from Alexandria. Energies are from PBE-GGA.

Unit cell a=4.2396 b=4.5783 c=4.2396 alpha=90.00 beta=90.00 gamma=90.00
With the nearest neighbours (Å) after each atom.
Sites, in units of the cell vectors:
Mn 0.0000 0.0000 0.0000  4 P 2.12, 2 As 2.29
P 0.5000 0.0000 0.0000  2 Mn 2.12
Ir 0.5000 0.5000 0.5000  4 As 3.00, 8 P 3.12
P 0.0000 0.0000 0.5000  2 Mn 2.12
As 0.0000 0.5000 0.0000  2 Mn 2.29

Summary:
- M_tot: 0.00 μB per cell
- Calculated volume: 16.5 A^3/atom
- Space-group type: No. 123
- Total energy: -0.2204 Ha/atom

=====

7.
Here is Rb2CoSnBr6 after structural relaxation from Alexandria. Energies are from PBE-GGA.

Unit cell a=7.7753 b=7.7753 c=7.7614 alpha=59.94 beta=59.94 gamma=90.00
With the nearest neighbours (Å) after each atom.
Sites, in units of the cell vectors:
Sn 0.0000 0.0000 0.0000  6 Br 2.90
Br 0.2642 0.7358 0.0000  1 Co 2.59
Br 0.7358 0.7358 0.0000  1 Co 2.59
Br 0.2647 0.2647 0.4705  1 Co 2.58
Br 0.2642 0.2642 0.0000  1 Co 2.59
Rb 0.7500 0.2500 0.5000  12 Br 3.88-3.89
Rb 0.2500 0.7500 0.5000  12 Br 3.88-3.89
Br 0.7353 0.7353 0.5295  1 Co 2.58
Co 0.5000 0.5000 0.0000  6 Br 2.58-2.59
Br 0.7358 0.2642 0.0000  1 Co 2.59

Summary:
- M_tot: 2.52 μB per cell
- Calculated volume: 33.1 A^3/atom
- Space-group type: No. 139
- Total energy: -0.1210 Ha/atom

=====

8.
Here is Pr2C after structural relaxation from Alexandria. Energies are from PBE-GGA.

Unit cell a=3.7169 b=3.7166 c=13.5148 alpha=90.00 beta=90.00 gamma=120.00
With the nearest neighbours (Å) after each atom.
Sites, in units of the cell vectors:
Pr 0.8354 0.1709 0.1058  3 C 2.57-2.59
C 0.5000 0.5000 0.0000  6 Pr 2.57-2.59
C 0.0000 0.5000 0.5000  6 Pr 2.57-2.59
Pr 0.3354 0.1709 0.3942  3 C 2.57-2.59
Pr 0.6646 0.8291 0.6058  3 C 2.57-2.59
Pr 0.1646 0.8291 0.8942  3 C 2.57-2.59

Summary:
- M_tot: 0.00 μB per cell
- Calculated volume: 26.9 A^3/atom
- Space-group type: No. 64
- Total energy: -0.2327 Ha/atom